15
Lattice="-4.3900 -1.0788 4.7165 -6.0492 -1.9899 -1.4587 -1.9532 -6.0702 1.4205" Properties=species:S:1:pos:R:3 comment="LiY2Fe4O8 PBE with a Hubbard U optimized geometry" e_above_lowest_polymorph_ev_per_atom=0.0697 pbc="T T T"
O -7.1146 -6.4327 1.0052
O -5.2514 -2.6744 3.6807
O -9.4818 -6.9924 3.5795
O -6.2031 -5.9321 4.3977
O -6.1725 -3.1802 0.2528
O -8.4534 -3.6904 2.8160
O -3.8988 -5.4452 1.8510
O -2.8961 -2.1358 1.0933
Fe -12.2337 -9.0219 4.6184
Fe -10.2546 -8.5598 2.4576
Fe -9.4879 -8.1388 5.3111
Fe -11.3806 -6.2533 3.9807
Y -4.5859 -3.3819 1.7312
Y -7.8186 -5.7658 2.9516
Li -1.5155 -1.1176 0.5721